Crystalline RbTi2BiI at its relaxed geometry. Source: the Alexandria database, functional PBE.

a = 5.324 Å, b = 5.324 Å, c = 6.263 Å
α = 90.00°, β = 90.00°, γ = 90.00°
Positions (direct):
Rb 0.000 0.000 0.000
Ti 0.000 0.500 0.500
Ti 0.500 0.000 0.500
Bi 0.500 0.500 0.000
I 0.000 0.000 0.500

SG: P4/mmm, No. 123
DFT total energy in eV for the cell shown: -18.51
Total magnetization in μB/f.u.: 4.88
Energy relative to the elements, uncorrected in eV/atom: 0.7352